## Ba2NiRhO5 (PBE+U)

Data for a relaxed Ba2NiRhO5 crystal.

Lattice parameters (Å, degrees): 3.4203 15.0410 10.8352 90.00 90.00 90.00
Space group Cmc2_1 (No. 36)
Asymmetric unit:
Ba1 0.0000 0.1087 0.0000 [4 per cell]
Ba2 0.0000 0.1326 0.6242 [4 per cell]
Ni1 0.0000 0.4398 0.7715 [4 per cell]
Rh1 0.0000 0.2125 0.3418 [4 per cell]
O1 0.0000 0.0755 0.3653 [4 per cell]
O2 0.0000 0.2807 0.9554 [4 per cell]
O3 0.0000 0.3064 0.7254 [4 per cell]
O4 0.0000 0.3452 0.3189 [4 per cell]
O5 0.0000 0.4972 0.6163 [4 per cell]

Output
Electronic total energy = -210.8 eV for the cell shown
D(E_F) = 0.368 states/eV per atom